(1)
## BaCrP2 (GGA-PBE)

Data for a relaxed BaCrP2 crystal.

Calculated values
total moment	0.0	Bohr magnetons per cell
mass density	5705	kg/m3

Cell: 3.1687 3.1696 7.9479 Å, 66.37 90.00 90.00°
Last column: nearest neighbours and their distance in Å.
Fractional coordinates of all 4 atoms:
1 Ba 0.5000 0.2500 0.2500  4 Ba 3.17, 8 P 3.29
2 Cr 0.5000 0.7500 0.7500  8 P 2.56
3 P 0.0000 0.0807 0.9195  1 P 2.47, 4 Cr 2.56
4 P 0.0000 0.4193 0.5805  1 P 2.47, 4 Cr 2.56

(2)
## BaCr3P (GGA-PBE)

Data for a relaxed BaCr3P crystal.

Calculated values
total moment	8.8	Bohr magnetons per cell
mass density	5350	kg/m3

Cell: 4.6516 4.6516 4.6516 Å, 90.00 90.00 90.00°
Last column: nearest neighbours and their distance in Å.
Fractional coordinates of all 5 atoms:
1 Cr 0.0000 0.0000 0.5000  2 P 2.33
2 Cr 0.5000 0.0000 0.0000  2 P 2.33
3 P 0.0000 0.0000 0.0000  6 Cr 2.33
4 Ba 0.5000 0.5000 0.5000  12 Cr 3.29
5 Cr 0.0000 0.5000 0.0000  2 P 2.33

The evaluated VASP energy for the records listed, in turn: -5.73 -6.65 eV per atom.